(1)
# Ba3Na2Tl4, optimized geometry, DFT GGA-PBE
data_Ba3Na2Tl4
_symmetry_space_group_name_H-M 'C 1 2/m 1'
_symmetry_Int_Tables_number 12
_symmetry_space_group_name_Hall '-C 2y'
_cell_length_a 12.6784
_cell_length_b 5.5678
_cell_length_c 10.5220
_cell_angle_alpha 90.00
_cell_angle_beta 115.97
_cell_angle_gamma 90.00
loop_
_atom_site_label
_atom_site_fract_x
_atom_site_fract_y
_atom_site_fract_z
_atom_site_occupancy
Ba1 0.0000 0.0000 0.0000 1
Ba2 0.1510 0.5000 0.6888 1
Na1 0.1611 0.5000 0.3315 1
Tl1 0.0477 0.0000 0.3820 1
Tl2 0.2449 0.5000 0.0808 1
# Total magnetization (μB per cell): 0.0
# Energy of formation (meV per atom): -273

=====

(2)
# BaNa2Tl, optimized geometry, DFT GGA-PBE
data_BaNa2Tl
_symmetry_space_group_name_H-M 'P 4/m m m'
_symmetry_Int_Tables_number 123
_symmetry_space_group_name_Hall '-P 4 2'
_cell_length_a 5.2808
_cell_length_b 5.2808
_cell_length_c 5.5801
_cell_angle_alpha 90.00
_cell_angle_beta 90.00
_cell_angle_gamma 90.00
loop_
_atom_site_label
_atom_site_fract_x
_atom_site_fract_y
_atom_site_fract_z
_atom_site_occupancy
Ba1 0.0000 0.0000 0.0000 1
Na1 0.0000 0.5000 0.5000 1
Tl1 0.5000 0.5000 0.0000 1
# Total magnetization (μB per cell): 0.7
# Energy of formation (meV per atom): -65

=====

(3)
# BaNaTl2, optimized geometry, DFT GGA-PBE
data_BaNaTl2
_symmetry_space_group_name_H-M 'P 4/m m m'
_symmetry_Int_Tables_number 123
_symmetry_space_group_name_Hall '-P 4 2'
_cell_length_a 5.8130
_cell_length_b 5.8130
_cell_length_c 4.1767
_cell_angle_alpha 90.00
_cell_angle_beta 90.00
_cell_angle_gamma 90.00
loop_
_atom_site_label
_atom_site_fract_x
_atom_site_fract_y
_atom_site_fract_z
_atom_site_occupancy
Ba1 0.0000 0.0000 0.0000 1
Na1 0.5000 0.5000 0.0000 1
Tl1 0.0000 0.5000 0.5000 1
# Total magnetization (μB per cell): 0.0
# Energy of formation (meV per atom): -223

=====

(4)
# BaNa6Tl12, optimized geometry, DFT GGA-PBE
data_BaNa6Tl12
_symmetry_space_group_name_H-M 'R -3 m'
_symmetry_Int_Tables_number 166
_symmetry_space_group_name_Hall '-R 3 2"'
_cell_length_a 13.9105
_cell_length_b 13.9105
_cell_length_c 10.9534
_cell_angle_alpha 90.00
_cell_angle_beta 90.00
_cell_angle_gamma 120.00
loop_
_atom_site_label
_atom_site_fract_x
_atom_site_fract_y
_atom_site_fract_z
_atom_site_occupancy
Ba1 0.0000 0.0000 0.0000 1
Na1 0.0618 0.5309 0.2401 1
Tl1 0.0000 0.3873 0.5000 1
Tl2 0.0878 0.1756 0.2904 1
# Total magnetization (μB per cell): 0.0
# Energy of formation (meV per atom): -49

=====

(5)
# BaNaTl, optimized geometry, DFT GGA-PBE
data_BaNaTl
_symmetry_space_group_name_H-M 'P -3 m 1'
_symmetry_Int_Tables_number 164
_symmetry_space_group_name_Hall '-P 3 2"'
_cell_length_a 5.4742
_cell_length_b 5.4742
_cell_length_c 9.4560
_cell_angle_alpha 90.00
_cell_angle_beta 90.00
_cell_angle_gamma 120.00
loop_
_atom_site_label
_atom_site_fract_x
_atom_site_fract_y
_atom_site_fract_z
_atom_site_occupancy
Ba1 0.0000 0.0000 0.2183 1
Na1 0.3333 0.6667 0.5475 1
Tl1 0.3333 0.6667 0.9507 1
# Total magnetization (μB per cell): 0.0
# Energy of formation (meV per atom): -177

=====

(6)
# BaNa6Tl4, optimized geometry, DFT GGA-PBE
data_BaNa6Tl4
_symmetry_space_group_name_H-M 'I -4 2 m'
_symmetry_Int_Tables_number 121
_symmetry_space_group_name_Hall 'I -4 2'
_cell_length_a 7.9542
_cell_length_b 7.9542
_cell_length_c 12.4629
_cell_angle_alpha 90.00
_cell_angle_beta 90.00
_cell_angle_gamma 90.00
loop_
_atom_site_label
_atom_site_fract_x
_atom_site_fract_y
_atom_site_fract_z
_atom_site_occupancy
Ba1 0.0000 0.0000 0.0000 1
Na1 0.0000 0.5000 0.0000 1
Na2 0.1940 0.1940 0.2934 1
Tl1 0.1605 0.1605 0.5770 1
# Total magnetization (μB per cell): 0.0
# Energy of formation (meV per atom): -99

=====

(7)
# Ba4NaTl2, optimized geometry, DFT GGA-PBE
data_Ba4NaTl2
_symmetry_space_group_name_H-M 'R -3 m'
_symmetry_Int_Tables_number 166
_symmetry_space_group_name_Hall '-R 3 2"'
_cell_length_a 6.1237
_cell_length_b 6.1237
_cell_length_c 29.6168
_cell_angle_alpha 90.00
_cell_angle_beta 90.00
_cell_angle_gamma 120.00
loop_
_atom_site_label
_atom_site_fract_x
_atom_site_fract_y
_atom_site_fract_z
_atom_site_occupancy
Ba1 0.0000 0.0000 0.1187 1
Ba2 0.0000 0.0000 0.3706 1
Na1 0.0000 0.0000 0.5000 1
Tl1 0.0000 0.0000 0.2463 1
# Total magnetization (μB per cell): 0.0
# Energy of formation (meV per atom): -215

=====

(8)
# Ba6Na2Tl, optimized geometry, DFT GGA-PBE
data_Ba6Na2Tl
_symmetry_space_group_name_H-M 'C 1 2/m 1'
_symmetry_Int_Tables_number 12
_symmetry_space_group_name_Hall '-C 2y'
_cell_length_a 19.6658
_cell_length_b 8.9643
_cell_length_c 6.1978
_cell_angle_alpha 90.00
_cell_angle_beta 108.33
_cell_angle_gamma 90.00
loop_
_atom_site_label
_atom_site_fract_x
_atom_site_fract_y
_atom_site_fract_z
_atom_site_occupancy
Ba1 0.0000 0.2232 0.0000 1
Ba2 0.1557 0.2369 0.6550 1
Na1 0.1665 0.5000 0.1654 1
Tl1 0.0000 0.0000 0.5000 1
# Total magnetization (μB per cell): 0.0
# Energy of formation (meV per atom): 39

=====

(9)
# BaNa4Tl15, optimized geometry, DFT GGA-PBE
data_BaNa4Tl15
_symmetry_space_group_name_H-M 'P 4/m m m'
_symmetry_Int_Tables_number 123
_symmetry_space_group_name_Hall '-P 4 2'
_cell_length_a 4.9451
_cell_length_b 4.9451
_cell_length_c 24.5475
_cell_angle_alpha 90.00
_cell_angle_beta 90.00
_cell_angle_gamma 90.00
loop_
_atom_site_label
_atom_site_fract_x
_atom_site_fract_y
_atom_site_fract_z
_atom_site_occupancy
Ba1 0.0000 0.0000 0.0000 1
Na1 0.0000 0.0000 0.2041 1
Na2 0.0000 0.0000 0.4013 1
Tl1 0.0000 0.5000 0.1082 1
Tl2 0.0000 0.5000 0.3029 1
Tl3 0.0000 0.5000 0.5000 1
Tl4 0.5000 0.5000 0.0000 1
Tl5 0.5000 0.5000 0.2028 1
Tl6 0.5000 0.5000 0.4027 1
# Total magnetization (μB per cell): 0.0
# Energy of formation (meV per atom): -99

=====

(10)
# Ba2NaTl2, optimized geometry, DFT GGA-PBE
data_Ba2NaTl2
_symmetry_space_group_name_H-M 'I 4/m m m'
_symmetry_Int_Tables_number 139
_symmetry_space_group_name_Hall '-I 4 2'
_cell_length_a 4.6457
_cell_length_b 4.6457
_cell_length_c 21.1252
_cell_angle_alpha 90.00
_cell_angle_beta 90.00
_cell_angle_gamma 90.00
loop_
_atom_site_label
_atom_site_fract_x
_atom_site_fract_y
_atom_site_fract_z
_atom_site_occupancy
Ba1 0.0000 0.0000 0.1149 1
Na1 0.0000 0.0000 0.5000 1
Tl1 0.0000 0.5000 0.2500 1
# Total magnetization (μB per cell): 0.0
# Energy of formation (meV per atom): -59

=====

(11)
# Ba8Na3Tl2, optimized geometry, DFT GGA-PBE
data_Ba8Na3Tl2
_symmetry_space_group_name_H-M 'C m m m'
_symmetry_Int_Tables_number 65
_symmetry_space_group_name_Hall '-C 2 2'
_cell_length_a 11.3014
_cell_length_b 19.4955
_cell_length_c 6.2582
_cell_angle_alpha 90.00
_cell_angle_beta 90.00
_cell_angle_gamma 90.00
loop_
_atom_site_label
_atom_site_fract_x
_atom_site_fract_y
_atom_site_fract_z
_atom_site_occupancy
Ba1 0.0000 0.1188 0.0000 1
Ba2 0.0000 0.3165 0.0000 1
Ba3 0.2343 0.3619 0.5000 1
Na1 0.0000 0.0000 0.5000 1
Na2 0.1874 0.5000 0.0000 1
Tl1 0.0000 0.2315 0.5000 1
# Total magnetization (μB per cell): 0.0
# Energy of formation (meV per atom): -67

=====

(12)
# BaNa12Tl6, optimized geometry, DFT GGA-PBE
data_BaNa12Tl6
_symmetry_space_group_name_H-M 'R -3 m'
_symmetry_Int_Tables_number 166
_symmetry_space_group_name_Hall '-R 3 2"'
_cell_length_a 14.1880
_cell_length_b 14.1880
_cell_length_c 11.2441
_cell_angle_alpha 90.00
_cell_angle_beta 90.00
_cell_angle_gamma 120.00
loop_
_atom_site_label
_atom_site_fract_x
_atom_site_fract_y
_atom_site_fract_z
_atom_site_occupancy
Ba1 0.0000 0.0000 0.0000 1
Na1 0.0000 0.3889 0.5000 1
Na2 0.0889 0.1778 0.3338 1
Tl1 0.0286 0.5143 0.2508 1
# Total magnetization (μB per cell): 0.0
# Energy of formation (meV per atom): -22

=====

(13)
# Ba5NaTl6, optimized geometry, DFT GGA-PBE
data_Ba5NaTl6
_symmetry_space_group_name_H-M 'I m m m'
_symmetry_Int_Tables_number 71
_symmetry_space_group_name_Hall '-I 2 2'
_cell_length_a 5.9586
_cell_length_b 8.4318
_cell_length_c 17.9438
_cell_angle_alpha 90.00
_cell_angle_beta 90.00
_cell_angle_gamma 90.00
loop_
_atom_site_label
_atom_site_fract_x
_atom_site_fract_y
_atom_site_fract_z
_atom_site_occupancy
Ba1 0.0000 0.0000 0.0000 1
Ba2 0.0000 0.0000 0.3270 1
Ba3 0.0000 0.5000 0.3364 1
Na1 0.0000 0.5000 0.0000 1
Tl1 0.0000 0.2163 0.5000 1
Tl2 0.0000 0.2735 0.1563 1
# Total magnetization (μB per cell): 0.0
# Energy of formation (meV per atom): -352

=====

(14)
# BaNaTl3, optimized geometry, DFT GGA-PBE
data_BaNaTl3
_symmetry_space_group_name_H-M 'P m -3 m'
_symmetry_Int_Tables_number 221
_symmetry_space_group_name_Hall '-P 4 2 3'
_cell_length_a 6.4887
_cell_length_b 6.4887
_cell_length_c 6.4887
_cell_angle_alpha 90.00
_cell_angle_beta 90.00
_cell_angle_gamma 90.00
loop_
_atom_site_label
_atom_site_fract_x
_atom_site_fract_y
_atom_site_fract_z
_atom_site_occupancy
Ba1 0.0000 0.0000 0.0000 1
Na1 0.5000 0.5000 0.5000 1
Tl1 0.0000 0.0000 0.5000 1
# Total magnetization (μB per cell): 0.0
# Energy of formation (meV per atom): 451

=====

(15)
# BaNaTl, optimized geometry, DFT GGA-PBE
data_BaNaTl
_symmetry_space_group_name_H-M 'P 3 m 1'
_symmetry_Int_Tables_number 156
_symmetry_space_group_name_Hall 'P 3 -2"'
_cell_length_a 5.6745
_cell_length_b 5.6745
_cell_length_c 4.0132
_cell_angle_alpha 90.00
_cell_angle_beta 90.00
_cell_angle_gamma 120.00
loop_
_atom_site_label
_atom_site_fract_x
_atom_site_fract_y
_atom_site_fract_z
_atom_site_occupancy
Ba1 0.0000 0.0000 0.0000 1
Na1 0.3333 0.6667 0.4991 1
Tl1 0.6667 0.3333 0.5007 1
# Total magnetization (μB per cell): 0.0
# Energy of formation (meV per atom): -193

=====

(16)
# Ba2NaTl5, optimized geometry, DFT GGA-PBE
data_Ba2NaTl5
_symmetry_space_group_name_H-M 'C m c m'
_symmetry_Int_Tables_number 63
_symmetry_space_group_name_Hall '-C 2c 2'
_cell_length_a 5.1396
_cell_length_b 19.7730
_cell_length_c 11.1546
_cell_angle_alpha 90.00
_cell_angle_beta 90.00
_cell_angle_gamma 90.00
loop_
_atom_site_label
_atom_site_fract_x
_atom_site_fract_y
_atom_site_fract_z
_atom_site_occupancy
Ba1 0.0000 0.0000 0.0000 1
Ba2 0.0000 0.2065 0.2500 1
Na1 0.0000 0.4502 0.7500 1
Tl1 0.0000 0.1961 0.6000 1
Tl2 0.0000 0.3604 0.5292 1
Tl3 0.0000 0.3971 0.2500 1
# Total magnetization (μB per cell): 0.0
# Energy of formation (meV per atom): -241

=====

(17)
# BaNa2Tl, optimized geometry, DFT GGA-PBE
data_BaNa2Tl
_symmetry_space_group_name_H-M 'P 4/m m m'
_symmetry_Int_Tables_number 123
_symmetry_space_group_name_Hall '-P 4 2'
_cell_length_a 4.3557
_cell_length_b 4.3557
_cell_length_c 7.9966
_cell_angle_alpha 90.00
_cell_angle_beta 90.00
_cell_angle_gamma 90.00
loop_
_atom_site_label
_atom_site_fract_x
_atom_site_fract_y
_atom_site_fract_z
_atom_site_occupancy
Ba1 0.0000 0.0000 0.0000 1
Na1 0.5000 0.5000 0.3051 1
Tl1 0.0000 0.0000 0.5000 1
# Total magnetization (μB per cell): 0.0
# Energy of formation (meV per atom): -53

=====

(18)
# BaNa6Tl12, optimized geometry, DFT GGA-PBE
data_BaNa6Tl12
_symmetry_space_group_name_H-M 'R -3'
_symmetry_Int_Tables_number 148
_symmetry_space_group_name_Hall '-R 3'
_cell_length_a 15.1158
_cell_length_b 15.1158
_cell_length_c 8.6525
_cell_angle_alpha 90.00
_cell_angle_beta 90.00
_cell_angle_gamma 120.00
loop_
_atom_site_label
_atom_site_fract_x
_atom_site_fract_y
_atom_site_fract_z
_atom_site_occupancy
Ba1 0.0000 0.0000 0.0000 1
Na1 0.0294 0.2701 0.3208 1
Tl1 0.0131 0.1438 0.6571 1
Tl2 0.0590 0.5617 0.6768 1
# Total magnetization (μB per cell): 0.0
# Energy of formation (meV per atom): -125

=====

(19)
# Ba2NaTl, optimized geometry, DFT GGA-PBE
data_Ba2NaTl
_symmetry_space_group_name_H-M 'R -3 m'
_symmetry_Int_Tables_number 166
_symmetry_space_group_name_Hall '-R 3 2"'
_cell_length_a 4.1208
_cell_length_b 4.1208
_cell_length_c 41.7222
_cell_angle_alpha 90.00
_cell_angle_beta 90.00
_cell_angle_gamma 120.00
loop_
_atom_site_label
_atom_site_fract_x
_atom_site_fract_y
_atom_site_fract_z
_atom_site_occupancy
Ba1 0.0000 0.0000 0.0857 1
Na1 0.0000 0.0000 0.5000 1
Tl1 0.0000 0.0000 0.0000 1
# Total magnetization (μB per cell): 0.0
# Energy of formation (meV per atom): 176

=====

(20)
# Ba3NaTl, optimized geometry, DFT GGA-PBE
data_Ba3NaTl
_symmetry_space_group_name_H-M 'P m -3 m'
_symmetry_Int_Tables_number 221
_symmetry_space_group_name_Hall '-P 4 2 3'
_cell_length_a 6.8104
_cell_length_b 6.8104
_cell_length_c 6.8104
_cell_angle_alpha 90.00
_cell_angle_beta 90.00
_cell_angle_gamma 90.00
loop_
_atom_site_label
_atom_site_fract_x
_atom_site_fract_y
_atom_site_fract_z
_atom_site_occupancy
Ba1 0.0000 0.0000 0.5000 1
Na1 0.5000 0.5000 0.5000 1
Tl1 0.0000 0.0000 0.0000 1
# Total magnetization (μB per cell): 0.0
# Energy of formation (meV per atom): -36